Material: BeNiSb2
Method: DFT, PBE
State: relaxed

Geometry as extended XYZ:
```
4
Lattice="-1.941 2.577 3.646 1.941 -2.577 3.646 1.941 2.577 -3.646" Properties=species:S:1:pos:R:3 pbc="T T T"
Be 0.000 0.000 0.000
Ni 0.000 0.000 3.646
Sb 1.941 0.000 1.758
Sb 0.000 2.577 1.888
```

## Properties
Symmetry: Immm

=====

Material: BeNiSb
Method: DFT, PBE
State: relaxed

Geometry as extended XYZ:
```
3
Lattice="-1.529 1.529 4.825 1.529 -1.529 4.825 1.529 1.529 -4.825" Properties=species:S:1:pos:R:3 pbc="T T T"
Be 0.000 0.000 0.000
Ni 0.000 0.000 4.109
Sb 0.000 0.000 6.936
```

## Properties
Energy above the lowest structure with this stoichiometry, eV per formula unit: 0.962
Symmetry: I4mm

=====

Material: Be3NiSb
Method: DFT, PBE
State: relaxed

Geometry as extended XYZ:
```
5
Lattice="4.111 0.000 0.000 0.000 4.111 0.000 0.000 0.000 4.111" Properties=species:S:1:pos:R:3 pbc="T T T"
Be 0.000 0.000 2.055
Be 0.000 2.055 0.000
Be 2.055 0.000 0.000
Ni 0.000 0.000 0.000
Sb 2.055 2.055 2.055
```

## Properties
Energy above the lowest structure with this stoichiometry, eV per formula unit: 0.000
Symmetry: Pm-3m

=====

Material: BeNiSb2
Method: DFT, PBE
State: relaxed

Geometry as extended XYZ:
```
4
Lattice="3.834 0.000 0.000 0.000 3.841 0.000 -1.916 0.000 4.728" Properties=species:S:1:pos:R:3 pbc="T T T"
Be 0.000 0.000 0.000
Ni 0.005 1.921 1.233
Sb 0.002 1.921 4.057
Sb 1.926 0.000 2.016
```

## Properties
Symmetry: Pm

=====

Material: BeNiSb2
Method: DFT, PBE
State: relaxed

Geometry as extended XYZ:
```
4
Lattice="3.299 -3.671 0.000 3.299 3.671 0.000 -0.876 0.000 3.006" Properties=species:S:1:pos:R:3 pbc="T T T"
Be 0.000 0.000 0.000
Ni 3.299 0.000 0.000
Sb 1.212 1.835 1.503
Sb 1.212 -1.835 1.503
```

## Properties
Symmetry: C2/m

=====

Material: BeNi12Sb3
Method: DFT, PBE
State: relaxed

Geometry as extended XYZ:
```
16
Lattice="3.706 0.000 0.000 0.000 3.706 0.000 0.000 0.000 14.267" Properties=species:S:1:pos:R:3 pbc="T T T"
Be 0.000 0.000 0.000
Ni 0.000 1.853 1.521
Ni 0.000 1.853 5.270
Ni 0.000 1.853 8.996
Ni 0.000 1.853 12.746
Ni 1.853 0.000 1.521
Ni 1.853 0.000 5.270
Ni 1.853 0.000 8.996
Ni 1.853 0.000 12.746
Ni 1.853 1.853 0.000
Ni 1.853 1.853 3.455
Ni 1.853 1.853 7.133
Ni 1.853 1.853 10.812
Sb 0.000 0.000 3.337
Sb 0.000 0.000 7.133
Sb 0.000 0.000 10.930
```

## Properties
Symmetry: P4/mmm

=====

Material: BeNiSb3
Method: DFT, PBE
State: relaxed

Geometry as extended XYZ:
```
5
Lattice="4.963 0.000 0.000 0.000 4.963 0.000 0.000 0.000 4.963" Properties=species:S:1:pos:R:3 pbc="T T T"
Be 0.000 0.000 0.000
Ni 2.482 2.482 2.482
Sb 0.000 2.482 2.482
Sb 2.482 0.000 2.482
Sb 2.482 2.482 0.000
```

## Properties
Energy above the lowest structure with this stoichiometry, eV per formula unit: 0.000
Symmetry: Pm-3m

=====

Material: BeNi2Sb2
Method: DFT, PBE
State: relaxed

Geometry as extended XYZ:
```
10
Lattice="6.392 0.000 0.000 0.000 6.392 0.000 0.000 0.000 3.938" Properties=species:S:1:pos:R:3 pbc="T T T"
Be 0.000 0.000 0.000
Be 3.196 3.196 0.000
Ni 0.927 2.270 0.000
Ni 2.270 5.466 0.000
Ni 4.123 0.927 0.000
Ni 5.466 4.123 0.000
Sb 1.095 4.291 1.969
Sb 2.101 1.095 1.969
Sb 4.291 5.297 1.969
Sb 5.297 2.101 1.969
```

## Properties
Symmetry: P4/mbm

=====

Material: BeNiSb2
Method: DFT, PBE
State: relaxed

Geometry as extended XYZ:
```
4
Lattice="-1.794 1.826 5.899 1.794 -1.826 5.899 1.794 1.826 -5.899" Properties=species:S:1:pos:R:3 pbc="T T T"
Be 0.000 0.000 0.000
Ni 1.794 0.000 4.745
Sb 0.000 0.000 6.711
Sb 0.000 1.826 3.729
```

## Properties
Symmetry: Imm2

=====

Material: BeNiSb2
Method: DFT, PBE
State: relaxed

Geometry as extended XYZ:
```
4
Lattice="3.116 0.000 0.000 0.000 3.116 0.000 0.000 0.000 7.946" Properties=species:S:1:pos:R:3 pbc="T T T"
Be 0.000 0.000 0.000
Ni 1.558 1.558 0.856
Sb 0.000 0.000 2.571
Sb 1.558 1.558 6.173
```

## Properties
Symmetry: P4mm

=====

Material: BeSiNiSb2
Method: DFT, PBE
State: relaxed

Geometry as extended XYZ:
```
5
Lattice="4.982 0.000 0.000 0.000 4.982 0.000 0.000 0.000 3.996" Properties=species:S:1:pos:R:3 pbc="T T T"
Be 0.000 0.000 0.000
Si 2.491 2.491 0.000
Ni 0.000 0.000 1.998
Sb 0.000 2.491 1.998
Sb 2.491 0.000 1.998
```

## Properties
Symmetry: P4/mmm

=====

Material: Be2NiSnSb
Method: DFT, PBE
State: relaxed

Geometry as extended XYZ:
```
5
Lattice="4.353 0.000 0.000 0.000 4.353 0.000 0.000 0.000 6.258" Properties=species:S:1:pos:R:3 pbc="T T T"
Be 0.000 2.176 0.000
Be 2.176 0.000 0.000
Ni 0.000 0.000 3.129
Sn 2.176 2.176 3.129
Sb 2.176 2.176 0.000
```

## Properties
Symmetry: P4/mmm

=====

| no. | VASP energy (eV for the cell shown) | E_form (uncorrected) (eV per atom) |
| --- | --- | --- |
| 1 | -16.056 | 0.4240 |
| 2 | -13.023 | 0.2023 |
| 3 | -18.910 | 0.4344 |
| 4 | -17.513 | 0.0598 |
| 5 | -16.085 | 0.4169 |
| 6 | -87.923 | -0.1534 |
| 7 | -18.157 | 0.7435 |
| 8 | -45.498 | 0.1570 |
| 9 | -17.317 | 0.1088 |
| 10 | -17.672 | 0.0200 |
| 11 | -20.634 | 0.5083 |
| 12 | -15.000 | 1.2719 |